The following is a PBE calculation of crystalline LuPaSiTc at its relaxed geometry, from Alexandria.

a = 6.878 Å, b = 6.878 Å, c = 6.878 Å
α = 90.00°, β = 90.00°, γ = 90.00°
Space group F-43m (No. 216)
One atom of each set of equivalent atoms:
Lu1 0.000 0.000 0.000 [4 per cell]
Pa1 0.000 0.000 0.500 [4 per cell]
Si1 0.250 0.250 0.750 [4 per cell]
Tc1 0.250 0.250 0.250 [4 per cell]

Summary:
- Crystal system: cubic
- Formation energy without anion corrections: -0.1793 eV/atom


The following is a PBE calculation of crystalline Ga2Sn2PdRh2 at its relaxed geometry, from Alexandria.

a = 4.693 Å, b = 4.693 Å, c = 13.077 Å
α = 90.00°, β = 90.00°, γ = 90.00°
Space group I4/mmm (No. 139)
One atom of each set of equivalent atoms:
Ga1 0.000 0.500 0.000 [4 per cell]
Sn1 0.000 0.000 0.201 [4 per cell]
Pd1 0.000 0.000 0.000 [2 per cell]
Rh1 0.000 0.000 0.398 [4 per cell]

Summary:
- Crystal system: tetragonal
- Formation energy: -0.60 eV/f.u.


The following is a PBE calculation of crystalline InAg2Cl at its relaxed geometry, from Alexandria.

a = 5.836 Å, b = 8.955 Å, c = 3.201 Å
α = 90.00°, β = 90.00°, γ = 90.00°
Space group Cmmm (No. 65)
One atom of each set of equivalent atoms:
In1 0.000 0.000 0.000 [2 per cell]
Ag1 0.250 0.250 0.500 [4 per cell]
Cl1 0.000 0.500 0.000 [2 per cell]

Summary:
- Crystal system: orthorhombic
- Formation energy without anion corrections: -0.0505 eV/atom


The following is a PBE calculation of crystalline Pr6GaRh2Br3 at its relaxed geometry, from Alexandria.

a = 7.328 Å, b = 12.723 Å, c = 8.142 Å
α = 90.00°, β = 107.49°, γ = 90.00°
Space group C2/m (No. 12)
One atom of each set of equivalent atoms:
Pr1 0.218 0.000 0.203 [4 per cell]
Pr2 0.241 0.325 0.203 [8 per cell]
Ga1 0.000 0.500 0.000 [2 per cell]
Rh1 0.000 0.167 0.000 [4 per cell]
Br1 0.000 0.000 0.500 [2 per cell]
Br2 0.000 0.337 0.500 [4 per cell]

Summary:
- Crystal system: monoclinic
- Formation energy without anion corrections: -0.9716 eV/atom


The following is a PBE calculation of crystalline CeIrPb2O8 at its relaxed geometry, from Alexandria.

a = 5.037 Å, b = 6.838 Å, c = 5.038 Å
α = 90.00°, β = 90.03°, γ = 90.00°
Space group P2/m (No. 10)
One atom of each set of equivalent atoms:
Ce1 0.000 0.000 0.000 [1 per cell]
Ir1 0.000 0.500 0.000 [1 per cell]
Pb1 0.500 0.259 0.500 [2 per cell]
O1 0.185 0.275 0.818 [4 per cell]
O2 0.273 0.500 0.277 [2 per cell]
O3 0.309 0.000 0.312 [2 per cell]

Summary:
- Crystal system: monoclinic
- Formation energy without anion corrections: -1.3924 eV/atom


The following is a PBE calculation of crystalline Pm2Pr5HoEr at its relaxed geometry, from Alexandria.

a = 8.626 Å, b = 8.626 Å, c = 17.022 Å
α = 90.00°, β = 90.00°, γ = 90.00°
Space group I4/mcm (No. 140)
One atom of each set of equivalent atoms:
Pm1 0.122 0.378 0.000 [8 per cell]
Pr1 0.000 0.000 0.000 [4 per cell]
Pr2 0.218 0.282 0.356 [16 per cell]
Ho1 0.000 0.000 0.250 [4 per cell]
Er1 0.000 0.500 0.250 [4 per cell]

Summary:
- Crystal system: tetragonal
- Formation energy: 2.52 eV/f.u.


Table of mass density (g/cm3), in record order: 10.86; 7.95; 7.27; 6.24; 8.37; 6.96
Table of DOS at the Fermi energy (states/eV per cell), in record order: 19.05; 6.77; 1.86; 16.31; 2.58; 55.83
Table of electronic total energy (eV for the cell shown), in record order: -122.1; -69.1; -21.0; -126.2; -78.6; -160.1